(1)
Material: Mg2As
Method: DFT, PBE
State: optimized geometry

Results
SG   Imma
ΔE_f   -147 meV/atom
D(E_F)   2.2 states/eV/cell

Cell: 12.2027 12.2027 12.2027 Å, 165.66 162.65 22.58°
Last column: nearest neighbours and their distance in Å.
Fractional coordinates of all 6 atoms:
As 0.8755 0.6255 0.2500  8 Mg 2.88-2.93, 2 As 3.05
As 0.1245 0.3745 0.7500  8 Mg 2.88-2.93, 2 As 3.05
Mg 0.4425 0.1925 0.2500  4 As 2.88, 4 Mg 3.05-3.14
Mg 0.5575 0.8075 0.7500  4 As 2.88, 4 Mg 3.05-3.14
Mg 0.3043 0.0543 0.2500  4 As 2.93, 4 Mg 3.05-3.19
Mg 0.6957 0.9457 0.7500  4 As 2.93, 4 Mg 3.05-3.19


(2)
Material: Sr3CuCl
Method: DFT, PBE
State: optimized geometry

Results
SG   Pm-3m
D(E_F)   2.7 states/eV/cell
Formation energy without anion corrections   -0.357 eV/atom
Energy relative to the lowest polymorph listed for this composition   0.000 eV per atom

Cell: 5.9697 5.9697 5.9697 Å, 90.00 90.00 90.00°
Last column: nearest neighbours and their distance in Å.
Fractional coordinates of all 5 atoms:
Sr 0.0000 0.5000 0.0000  2 Cu 2.98
Sr 0.0000 0.0000 0.5000  2 Cu 2.98
Sr 0.5000 0.0000 0.0000  2 Cu 2.98
Cu 0.0000 0.0000 0.0000  6 Sr 2.98
Cl 0.5000 0.5000 0.5000  12 Sr 4.22


(3)
Material: SrHgIr2Ru
Method: DFT, PBE
State: optimized geometry

Results
SG   P4/mmm
ΔE_f   1946 meV/atom
D(E_F)   5.4 states/eV/cell

Cell: 5.0022 5.4337 5.0022 Å, 90.00 90.00 90.00°
Last column: nearest neighbours and their distance in Å.
Fractional coordinates of all 5 atoms:
Sr 0.0000 0.5000 0.0000  2 Hg 2.72
Ru 0.5000 0.5000 0.5000  4 Sr 3.54, 8 Ir 3.69
Hg 0.0000 0.0000 0.0000  4 Ir 2.50, 2 Sr 2.72
Ir 0.5000 0.0000 0.0000  2 Hg 2.50
Ir 0.0000 0.0000 0.5000  2 Hg 2.50


(4)
Material: LaMg2ZnCu
Method: DFT, PBE
State: optimized geometry

Results
SG   P4/mmm
ΔE_f   -75 meV/atom
D(E_F)   1.6 states/eV/cell

Cell: 4.8853 4.8853 4.7713 Å, 90.00 90.00 90.00°
Last column: nearest neighbours and their distance in Å.
Fractional coordinates of all 5 atoms:
Cu 0.0000 0.0000 0.0000  2 Zn 2.39, 4 Mg 2.44
Zn 0.0000 0.0000 0.5000  2 Cu 2.39
La 0.5000 0.5000 0.5000  8 Mg 3.41, 4 Zn 3.45
Mg 0.5000 0.0000 0.0000  2 Cu 2.44
Mg 0.0000 0.5000 0.0000  2 Cu 2.44


(5)
Material: CoSi2Au
Method: DFT, PBE
State: optimized geometry

Results
SG   P4mm
D(E_F)   0.5 states/eV/cell
Formation energy without anion corrections   -0.059 eV/atom
Energy relative to the lowest polymorph listed for this composition   0.064 eV per atom

Cell: 3.2990 3.2990 5.0914 Å, 90.00 90.00 90.00°
Last column: nearest neighbours and their distance in Å.
Fractional coordinates of all 4 atoms:
Co 0.5000 0.5000 0.8147  5 Si 2.23-2.45
Si 0.0000 0.0000 0.9592  4 Co 2.45, 2 Au 2.48-2.62
Si 0.5000 0.5000 0.2531  1 Co 2.23
Au 0.0000 0.0000 0.4730  6 Si 2.48-2.62


(6)
Material: NaSbSe2
Method: DFT, PBE
State: optimized geometry

Results
SG   I-42d
D(E_F)   0.0 states/eV/cell
Formation energy without anion corrections   -0.470 eV/atom

Cell: 6.5056 6.5056 8.1752 Å, 66.55 66.55 90.00°
Last column: nearest neighbours and their distance in Å.
Fractional coordinates of all 8 atoms:
Se 0.8750 0.8990 0.7500  2 Sb 2.77, 2 Na 2.95
Se 0.3750 0.3510 0.7500  2 Sb 2.77, 2 Na 2.95
Se 0.1010 0.6250 0.2500  2 Sb 2.77, 2 Na 2.95
Se 0.6490 0.1250 0.2500  2 Sb 2.77, 2 Na 2.95
Sb 0.7500 0.2500 0.5000  4 Se 2.77
Sb 0.0000 0.0000 0.0000  4 Se 2.77
Na 0.2500 0.7500 0.5000  4 Se 2.95
Na 0.5000 0.5000 0.0000  4 Se 2.95


(7)
Material: BaGeF2
Method: DFT, PBE
State: optimized geometry

Results
SG   R-3m
D(E_F)   1.1 states/eV/cell
Formation energy without anion corrections   -2.255 eV/atom
Energy relative to the lowest polymorph listed for this composition   0.000 eV per atom

Cell: 6.6537 6.6537 6.6537 Å, 38.26 38.26 38.26°
Last column: nearest neighbours and their distance in Å.
Fractional coordinates of all 4 atoms:
F 0.1233 0.1233 0.1233  1 Ge 2.28
F 0.8767 0.8767 0.8767  1 Ge 2.28
Ge 0.0000 0.0000 0.0000  2 F 2.28
Ba 0.5000 0.5000 0.5000  6 F 2.64


(8)
Material: La5PrDy4
Method: DFT, PBE
State: optimized geometry

Results
SG   P4/mmm
ΔE_f   22 meV/atom
D(E_F)   16.7 states/eV/cell
Energy relative to the lowest polymorph listed for this composition   0.008 eV per atom

Cell: 3.7084 3.7084 25.2927 Å, 90.00 90.00 90.00°
Last column: nearest neighbours and their distance in Å.
Fractional coordinates of all 10 atoms:
Dy 0.0000 0.0000 0.2040  8 La 3.62-3.64, 4 Dy 3.71
Dy 0.0000 0.0000 0.5986  8 La 3.62, 4 Dy 3.71
Dy 0.0000 0.0000 0.7960  8 La 3.62-3.64, 4 Dy 3.71
Dy 0.0000 0.0000 0.4014  8 La 3.62, 4 Dy 3.71
Pr 0.0000 0.0000 0.0000  4 Pr 3.71, 8 La 3.72
La 0.5000 0.5000 0.3028  8 Dy 3.62, 4 La 3.71
La 0.5000 0.5000 0.6972  8 Dy 3.62, 4 La 3.71
La 0.5000 0.5000 0.5000  8 Dy 3.62, 4 La 3.71
La 0.5000 0.5000 0.8959  4 Dy 3.64, 4 La 3.71, 4 Pr 3.72
La 0.5000 0.5000 0.1041  4 Dy 3.64, 4 La 3.71, 4 Pr 3.72


(9)
Material: CaIrN2
Method: DFT, PBE
State: optimized geometry

Results
SG   I-42d
D(E_F)   2.8 states/eV/cell
Formation energy without anion corrections   -0.077 eV/atom
Energy relative to the lowest polymorph listed for this composition   0.129 eV per atom

Cell: 4.8057 4.8057 6.2261 Å, 67.30 67.30 90.00°
Last column: nearest neighbours and their distance in Å.
Fractional coordinates of all 8 atoms:
Ca 0.5000 0.5000 0.0000  4 N 2.36
Ca 0.2500 0.7500 0.5000  4 N 2.36
N 0.8750 0.9497 0.7500  2 Ir 1.96
N 0.6997 0.1250 0.2500  2 Ir 1.96
N 0.3750 0.3003 0.7500  2 Ir 1.96
N 0.0503 0.6250 0.2500  2 Ir 1.96
Ir 0.7500 0.2500 0.5000  4 N 1.96
Ir 0.0000 0.0000 0.0000  4 N 1.96


(10)
Material: Er6TeC2
Method: DFT, PBE
State: optimized geometry

Results
SG   C2/m
D(E_F)   5.3 states/eV/cell
Formation energy without anion corrections   -0.330 eV/atom

Cell: 4.8368 6.8731 7.7445 Å, 71.58 71.80 69.40°
Last column: nearest neighbours and their distance in Å.
Fractional coordinates of all 9 atoms:
Er 0.3350 0.7475 0.5824  1 C 2.36
Er 0.0382 0.1200 0.8035  2 C 2.45-2.54
Er 0.9618 0.8800 0.1965  2 C 2.45-2.54
Er 0.6876 0.6855 0.9393  3 C 2.44-2.65
Er 0.3124 0.3145 0.0607  3 C 2.44-2.65
Er 0.6650 0.2525 0.4176  1 C 2.36
C 0.1823 0.7293 0.9061  5 Er 2.36-2.54
C 0.8177 0.2707 0.0939  5 Er 2.36-2.54
Te 0.0000 0.5000 0.5000  6 Er 2.90-3.03


(11)
Material: LiI
Method: DFT, PBE
State: optimized geometry

Results
SG   Cm
D(E_F)   0.0 states/eV/cell
Formation energy without anion corrections   -1.217 eV/atom
Energy relative to the lowest polymorph listed for this composition   0.000 eV per atom

Cell: 4.5660 4.5660 11.4281 Å, 78.52 78.52 60.03°
Last column: nearest neighbours and their distance in Å.
Fractional coordinates of all 6 atoms:
I 0.0003 0.0003 0.9993  4 Li 2.79
I 0.5564 0.5564 0.3325  4 Li 2.79
I 0.7775 0.7775 0.6663  4 Li 2.79-2.80
Li 0.4715 0.4715 0.5836  4 I 2.79
Li 0.9172 0.9172 0.2506  4 I 2.79
Li 0.6939 0.6938 0.9177  4 I 2.79-2.80


(12)
Material: Li2Ga3Ag2
Method: DFT, PBE
State: optimized geometry

Results
SG   C2/m
ΔE_f   -205 meV/atom
D(E_F)   1.8 states/eV/cell

Cell: 4.4513 4.4513 7.0403 Å, 94.79 104.72 117.78°
Last column: nearest neighbours and their distance in Å.
Fractional coordinates of all 7 atoms:
Ag 0.4095 0.7145 0.1240  4 Ga 2.69-2.86, 4 Li 2.70-2.86, 1 Ag 2.99
Ag 0.5905 0.2855 0.8760  4 Ga 2.69-2.86, 4 Li 2.70-2.86, 1 Ag 2.99
Li 0.1468 0.5701 0.7169  4 Ag 2.70-2.86, 4 Ga 2.80-2.97, 1 Li 2.88
Li 0.8532 0.4299 0.2831  4 Ag 2.70-2.86, 4 Ga 2.80-2.97, 1 Li 2.88
Ga 0.7025 0.8507 0.5533  4 Ga 2.69-2.97, 4 Li 2.80-2.97, 1 Ag 2.86
Ga 0.2975 0.1493 0.4467  4 Ga 2.69-2.97, 4 Li 2.80-2.97, 1 Ag 2.86
Ga 0.0000 0.0000 0.0000  6 Ag 2.69-2.74, 2 Ga 2.97


Calculated values (eV/cell) of total DFT energy (no corrections) for the records, taken in order: -16.56; -12.78; -19.25; -13.86; -21.46; -28.58; -19.30; -47.60; -55.64; -51.94; -17.69; -20.04.
Calculated values (Mg/m³) of theoretical density for the records, taken in order: 3.06; 2.82; 9.45; 4.61; 9.35; 3.51; 4.06; 7.09; 7.18; 8.61; 3.32; 6.28.
Calculated values (μB per formula unit) of size of the total moment for the records, taken in order: 0.00; 0.00; 3.44; 0.00; 0.00; 0.00; 0.00; 0.00; 0.00; 0.00; 0.00; 0.00.